# 1
Density functional theory data (SCAN) for a PBEsol-optimized structure of LiLaTl2.

Summary:
D(E_F) (states/eV/f.u.): 1.384
Formation enthalpy at 0 K (eV/atom): -0.533
VASP energy (Ry/atom): -3.5342

abc: 5.2725 5.2725 5.2725
angles: 60.00 60.00 60.00
Atoms (fractional coordinates):
Li 0.0000 0.0000 0.0000
La 0.5000 0.5000 0.5000
Tl 0.2500 0.2500 0.2500
Tl 0.7500 0.7500 0.7500

---

# 2
Density functional theory data (SCAN) for a PBEsol-optimized structure of IrC3.

Summary:
D(E_F) (states/eV/f.u.): 2.076
Formation enthalpy at 0 K (eV/atom): 2.567
VASP energy (Ry/atom): -1.6745

abc: 2.5917 2.5917 5.6933
angles: 90.00 90.00 120.00
Atoms (fractional coordinates):
Ir 0.0000 0.0000 0.0000
C 0.0000 0.0000 0.5000
C 0.6667 0.3333 0.3282
C 0.6667 0.3333 0.6718

---

# 3
Density functional theory data (SCAN) for a PBEsol-optimized structure of Zr2CdCl.

Summary:
Formation energy without anion corrections (eV/atom): -0.255
D(E_F) (states/eV/f.u.): 2.480
VASP energy (Ry/atom): -1.8524

abc: 5.0943 5.0943 3.0980
angles: 97.02 97.02 95.20
Atoms (fractional coordinates):
Zr 0.0000 0.5000 0.0000
Zr 0.5000 0.0000 0.0000
Cd 0.0000 0.0000 0.5000
Cl 0.5000 0.5000 0.5000

---

# 4
Density functional theory data (SCAN) for a PBEsol-optimized structure of La2In3Sn3.

Summary:
D(E_F) (states/eV/f.u.): 3.513
Formation enthalpy at 0 K (eV/atom): -0.633
VASP energy (Ry/atom): -2.7488

abc: 4.7102 4.7813 9.2857
angles: 90.00 90.00 90.00
Atoms (fractional coordinates):
La 0.0000 0.0000 0.2472
La 0.0000 0.0000 0.7528
In 0.0000 0.5000 0.5000
In 0.5000 0.5000 0.2530
In 0.5000 0.5000 0.7470
Sn 0.0000 0.5000 0.0000
Sn 0.5000 0.0000 0.0000
Sn 0.5000 0.0000 0.5000

---

# 5
Density functional theory data (SCAN) for a PBEsol-optimized structure of YTaSi2As.

Summary:
Formation energy without anion corrections (eV/atom): 0.724
D(E_F) (states/eV/f.u.): 3.642
VASP energy (Ry/atom): -1.9261

abc: 4.8033 4.8033 4.7173
angles: 90.00 90.00 90.00
Atoms (fractional coordinates):
Y 0.0000 0.0000 0.0000
Ta 0.5000 0.5000 0.0000
Si 0.0000 0.5000 0.5000
Si 0.5000 0.0000 0.5000
As 0.5000 0.5000 0.5000

---

# 6
Density functional theory data (SCAN) for a PBEsol-optimized structure of LiHg2Ru.

Summary:
D(E_F) (states/eV/f.u.): 1.918
Formation enthalpy at 0 K (eV/atom): 0.207
VASP energy (Ry/atom): -3.1737

abc: 5.1010 5.1010 5.1010
angles: 134.38 134.38 66.50
Atoms (fractional coordinates):
Li 0.0000 0.0000 0.0000
Hg 0.2500 0.7500 0.5000
Hg 0.5000 0.5000 0.0000
Ru 0.7500 0.2500 0.5000

---

# 7
Density functional theory data (SCAN) for a PBEsol-optimized structure of Li2CaAl.

Summary:
D(E_F) (states/eV/f.u.): 2.455
Formation enthalpy at 0 K (eV/atom): 0.022
VASP energy (Ry/atom): -0.4062

abc: 3.8008 4.9249 4.9805
angles: 90.00 90.00 90.00
Atoms (fractional coordinates):
Li 0.0000 0.0000 0.0000
Li 0.5000 0.0000 0.5000
Ca 0.0000 0.5000 0.5000
Al 0.5000 0.5000 0.0000

---

# 8
Density functional theory data (SCAN) for a PBEsol-optimized structure of Cr2TcMo.

Summary:
D(E_F) (states/eV/f.u.): 3.536
Formation enthalpy at 0 K (eV/atom): 0.077
VASP energy (Ry/atom): -1.9552

abc: 2.5944 4.1665 4.9002
angles: 90.00 100.34 90.00
Atoms (fractional coordinates):
Cr 0.0000 0.0000 0.0000
Cr 0.2506 0.5000 0.7642
Tc 0.5117 0.0000 0.5213
Mo 0.7572 0.5000 0.2510

---

# 9
Density functional theory data (SCAN) for a PBEsol-optimized structure of Ca4AsCl.

Summary:
Formation energy without anion corrections (eV/atom): -0.059
D(E_F) (states/eV/f.u.): 2.555
VASP energy (Ry/atom): -0.8229

abc: 6.4607 6.4607 6.4607
angles: 60.00 60.00 60.00
Atoms (fractional coordinates):
Ca 0.1234 0.1234 0.1234
Ca 0.1234 0.1234 0.6297
Ca 0.1234 0.6297 0.1234
Ca 0.6297 0.1234 0.1234
As 0.7500 0.7500 0.7500
Cl 0.5000 0.5000 0.5000

---

# 10
Density functional theory data (SCAN) for a PBEsol-optimized structure of CaMgPb2.

Summary:
D(E_F) (states/eV/f.u.): 1.554
Formation enthalpy at 0 K (eV/atom): -0.445
VASP energy (Ry/atom): -3.0866

abc: 3.6190 4.2085 7.0947
angles: 90.00 90.00 90.00
Atoms (fractional coordinates):
Ca 0.0000 0.0000 0.0000
Mg 0.0000 0.0000 0.5000
Pb 0.5000 0.5000 0.2731
Pb 0.5000 0.5000 0.7269

---

# 11
Density functional theory data (SCAN) for a PBEsol-optimized structure of Y2AlSi.

Summary:
Formation energy without anion corrections (eV/atom): -0.222
D(E_F) (states/eV/f.u.): 2.942
VASP energy (Ry/atom): -1.3660

abc: 3.3528 3.3528 7.9627
angles: 90.00 90.00 90.00
Atoms (fractional coordinates):
Y 0.0000 0.0000 0.0000
Y 0.5000 0.5000 0.3540
Al 0.0000 0.0000 0.6079
Si 0.5000 0.5000 0.7567

---

# 12
Density functional theory data (SCAN) for a PBEsol-optimized structure of NaCo2SbAs.

Summary:
Formation energy without anion corrections (eV/atom): 1.514
D(E_F) (states/eV/f.u.): 1.873
VASP energy (Ry/atom): -1.3039

abc: 4.4785 4.4785 5.0102
angles: 90.00 90.00 90.00
Atoms (fractional coordinates):
Na 0.0000 0.0000 0.0000
Co 0.0000 0.5000 0.0000
Co 0.5000 0.0000 0.0000
Sb 0.0000 0.0000 0.5000
As 0.5000 0.5000 0.5000

---

# 13
Density functional theory data (SCAN) for a PBEsol-optimized structure of LiCuAg2.

Summary:
D(E_F) (states/eV/f.u.): 1.038
Formation enthalpy at 0 K (eV/atom): -0.012
VASP energy (Ry/atom): -1.4768

abc: 4.6320 4.6320 4.9019
angles: 99.16 99.16 34.71
Atoms (fractional coordinates):
Li 0.0000 0.0000 0.0000
Cu 0.5000 0.5000 0.5000
Ag 0.2433 0.2433 0.7464
Ag 0.7567 0.7567 0.2536

---

# 14
Density functional theory data (SCAN) for a PBEsol-optimized structure of P2PtPb.

Summary:
D(E_F) (states/eV/f.u.): 0.775
Formation enthalpy at 0 K (eV/atom): -0.022
VASP energy (Ry/atom): -3.0660

abc: 4.3971 4.0793 4.6738
angles: 90.00 94.69 90.00
Atoms (fractional coordinates):
P 0.0000 0.0000 0.0000
P 0.2197 0.5000 0.8146
Pt 0.5019 0.0000 0.8135
Pb 0.7247 0.5000 0.4118

---

# 15
Density functional theory data (SCAN) for a PBEsol-optimized structure of Ca2AgSe.

Summary:
Formation energy without anion corrections (eV/atom): -0.878
D(E_F) (states/eV/f.u.): 2.462
VASP energy (Ry/atom): -1.3649

abc: 5.1394 5.1394 5.1394
angles: 120.06 119.87 90.06
Atoms (fractional coordinates):
Ca 0.2499 0.2499 0.0000
Ca 0.7501 0.7501 0.0000
Ag 0.5000 0.0000 0.5000
Se 0.0000 0.5000 0.5000

---

# 16
Density functional theory data (SCAN) for a PBEsol-optimized structure of HgRhW3.

Summary:
D(E_F) (states/eV/f.u.): 3.963
Formation enthalpy at 0 K (eV/atom): 2.091
VASP energy (Ry/atom): -4.4180

abc: 4.6535 4.6535 4.6535
angles: 90.00 90.00 90.00
Atoms (fractional coordinates):
Hg 0.0000 0.0000 0.0000
Rh 0.5000 0.5000 0.5000
W 0.0000 0.5000 0.5000
W 0.5000 0.0000 0.5000
W 0.5000 0.5000 0.0000

---

# 17
Density functional theory data (SCAN) for a PBEsol-optimized structure of TcNiIr2.

Summary:
D(E_F) (states/eV/f.u.): 3.853
Formation enthalpy at 0 K (eV/atom): -0.009
VASP energy (Ry/atom): -3.5549

abc: 3.7823 3.7823 3.6918
angles: 90.00 90.00 90.00
Atoms (fractional coordinates):
Tc 0.0000 0.0000 0.0000
Ni 0.5000 0.5000 0.0000
Ir 0.0000 0.5000 0.5000
Ir 0.5000 0.0000 0.5000

---

# 18
Density functional theory data (SCAN) for a PBEsol-optimized structure of KAgRu2.

Summary:
D(E_F) (states/eV/f.u.): 2.975
Formation enthalpy at 0 K (eV/atom): 1.472
VASP energy (Ry/atom): -1.9011

abc: 5.2417 5.2417 2.5444
angles: 90.00 90.00 90.00
Atoms (fractional coordinates):
K 0.0000 0.0000 0.0000
Ag 0.5000 0.5000 0.0000
Ru 0.0000 0.5000 0.5000
Ru 0.5000 0.0000 0.5000

---

# 19
Density functional theory data (SCAN) for a PBEsol-optimized structure of BaSeIN2.

Summary:
Formation energy without anion corrections (eV/atom): 0.695
D(E_F) (states/eV/f.u.): 1.304
VASP energy (Ry/atom): -1.6387

abc: 4.3688 4.3688 5.3837
angles: 90.00 90.00 90.00
Atoms (fractional coordinates):
Ba 0.0000 0.0000 0.0000
Se 0.5000 0.5000 0.0000
I 0.5000 0.5000 0.5000
N 0.0000 0.5000 0.5000
N 0.5000 0.0000 0.5000

---

# 20
Density functional theory data (SCAN) for a PBEsol-optimized structure of Fe2NiRu.

Summary:
D(E_F) (states/eV/f.u.): 4.121
Formation enthalpy at 0 K (eV/atom): 0.076
VASP energy (Ry/atom): -1.5977

abc: 2.7700 4.1117 4.1376
angles: 90.00 90.00 90.00
Atoms (fractional coordinates):
Fe 0.0000 0.0000 0.0000
Fe 0.5000 0.0000 0.5000
Ni 0.0000 0.5000 0.5000
Ru 0.5000 0.5000 0.0000

---

# 21
Density functional theory data (SCAN) for a PBEsol-optimized structure of SbTe3F.

Summary:
Formation energy without anion corrections (eV/atom): 0.525
D(E_F) (states/eV/f.u.): 7.063
VASP energy (Ry/atom): -2.2039

abc: 5.6262 5.6262 5.6262
angles: 90.00 90.00 90.00
Atoms (fractional coordinates):
Sb 0.0000 0.0000 0.0000
Te 0.0000 0.0000 0.5000
Te 0.0000 0.5000 0.0000
Te 0.5000 0.0000 0.0000
F 0.5000 0.5000 0.5000

---

# 22
Density functional theory data (SCAN) for a PBEsol-optimized structure of K2PSe3.

Summary:
Formation energy without anion corrections (eV/atom): -0.968
D(E_F) (states/eV/f.u.): 0.000
VASP energy (Ry/atom): -1.1404

abc: 13.7023 12.3293 8.6122
angles: 90.00 91.28 90.00
Atoms (fractional coordinates):
K 0.0636 0.2107 0.3318
K 0.0636 0.2893 0.8318
K 0.2056 0.6045 0.7878
K 0.2056 0.8955 0.2878
K 0.3138 0.5657 0.3266
K 0.3138 0.9343 0.8266
K 0.4198 0.2322 0.2195
K 0.4198 0.2678 0.7195
K 0.5802 0.7322 0.2805
K 0.5802 0.7678 0.7805
K 0.6862 0.0657 0.1734
K 0.6862 0.4343 0.6734
K 0.7944 0.1045 0.7122
K 0.7944 0.3955 0.2122
K 0.9364 0.7107 0.1682
K 0.9364 0.7893 0.6682
P 0.0686 0.5079 0.4269
P 0.0686 0.9921 0.9269
P 0.4305 0.5296 0.9361
P 0.4305 0.9704 0.4361
P 0.5695 0.0296 0.5639
P 0.5695 0.4704 0.0639
P 0.9314 0.0079 0.0731
P 0.9314 0.4921 0.5731
Se 0.0319 0.0345 0.6859
Se 0.0319 0.4655 0.1859
Se 0.1097 0.6793 0.4535
Se 0.1097 0.8207 0.9535
Se 0.1788 0.1000 0.0340
Se 0.1788 0.4000 0.5340
Se 0.3146 0.0850 0.4974
Se 0.3146 0.4150 0.9974
Se 0.4023 0.6940 0.0239
Se 0.4023 0.8060 0.5239
Se 0.4603 0.5329 0.6859
Se 0.4603 0.9671 0.1859
Se 0.5397 0.0329 0.8141
Se 0.5397 0.4671 0.3141
Se 0.5977 0.1940 0.4761
Se 0.5977 0.3060 0.9761
Se 0.6854 0.5850 0.0026
Se 0.6854 0.9150 0.5026
Se 0.8212 0.6000 0.4660
Se 0.8212 0.9000 0.9660
Se 0.8903 0.1793 0.0465
Se 0.8903 0.3207 0.5465
Se 0.9681 0.5345 0.8141
Se 0.9681 0.9655 0.3141

---

# 23
Density functional theory data (SCAN) for a PBEsol-optimized structure of Cu7Pt4.

Summary:
D(E_F) (states/eV/f.u.): 4.498
Formation enthalpy at 0 K (eV/atom): -0.133
VASP energy (Ry/atom): -2.5967

abc: 4.5366 4.5629 6.9572
angles: 89.45 83.74 80.07
Atoms (fractional coordinates):
Cu 0.0000 0.0000 0.0000
Cu 0.0891 0.8216 0.6471
Cu 0.1903 0.6374 0.2730
Cu 0.4625 0.0851 0.1790
Cu 0.5525 0.9086 0.8277
Cu 0.7298 0.5524 0.0908
Cu 0.8205 0.3627 0.7384
Pt 0.2737 0.4590 0.9211
Pt 0.3635 0.2725 0.5540
Pt 0.6424 0.7257 0.4584
Pt 0.9185 0.1781 0.3554

---

# 24
Density functional theory data (SCAN) for a PBEsol-optimized structure of RbP11.

Summary:
Formation enthalpy at 0 K (eV/atom): -0.158
VASP energy (Ry/atom): -0.8393

abc: 6.5121 9.6824 17.5909
angles: 90.00 94.10 90.00
Atoms (fractional coordinates):
Rb 0.0742 0.0325 0.1681
Rb 0.0742 0.4675 0.1681
Rb 0.9258 0.5325 0.8319
Rb 0.9258 0.9675 0.8319
P 0.1237 0.7500 0.5984
P 0.1443 0.0957 0.5798
P 0.1443 0.4043 0.5798
P 0.2001 0.7500 0.7196
P 0.2162 0.1314 0.7037
P 0.2162 0.3686 0.7037
P 0.2471 0.7500 0.9585
P 0.2574 0.7500 0.0806
P 0.2994 0.0876 0.9763
P 0.2994 0.4124 0.9763
P 0.3215 0.5876 0.5518
P 0.3215 0.9124 0.5518
P 0.3535 0.2500 0.5347
P 0.3644 0.7500 0.3798
P 0.3985 0.0858 0.3665
P 0.3985 0.4142 0.3665
P 0.4123 0.2500 0.9012
P 0.4457 0.5958 0.2956
P 0.4457 0.9042 0.2956
P 0.4604 0.5871 0.9238
P 0.4604 0.9129 0.9238
P 0.4700 0.2500 0.2836
P 0.5300 0.7500 0.7164
P 0.5396 0.0871 0.0762
P 0.5396 0.4129 0.0762
P 0.5543 0.0958 0.7044
P 0.5543 0.4042 0.7044
P 0.5877 0.7500 0.0988
P 0.6015 0.5858 0.6335
P 0.6015 0.9142 0.6335
P 0.6356 0.2500 0.6202
P 0.6465 0.7500 0.4653
P 0.6785 0.0876 0.4482
P 0.6785 0.4124 0.4482
P 0.7006 0.5876 0.0237
P 0.7006 0.9124 0.0237
P 0.7426 0.2500 0.9194
P 0.7529 0.2500 0.0415
P 0.7838 0.6314 0.2963
P 0.7838 0.8686 0.2963
P 0.7999 0.2500 0.2804
P 0.8557 0.5957 0.4202
P 0.8557 0.9043 0.4202
P 0.8763 0.2500 0.4016